## MnBiAsO5 (PBE+U)

Data for an optimized crystal structure of MnBiAsO5.

The value obtained for the energy above the most stable polymorph in this dataset is 0.114 eV per atom. The crystal system is monoclinic.

It has space group C2/c (No. 15), with a = 8.394 Å, b = 9.179 Å, c = 7.982 Å, α = 90.00°, β = 118.00° and γ = 90.00°. The inequivalent atoms are Mn at (0.000, 0.176, 0.250), Bi at (0.000, 0.500, 0.000), As at (0.000, 0.139, 0.750), O at (0.000, 0.387, 0.250), O at (0.013, 0.241, 0.576) and O at (0.174, 0.009, 0.848).